Here is SmZnRh after structural relaxation from Alexandria via LeMat-Bulk. Energies are from GGA-PBE.

Unit cell a=2.9911 b=2.9911 c=14.5971 alpha=90.00 beta=90.00 gamma=90.00
Space group I4mm (No. 107)
Asymmetric unit:
Sm1 0.0000 0.0000 0.0000 [2 per cell]
Zn1 0.0000 0.0000 0.6611 [2 per cell]
Rh1 0.0000 0.0000 0.8281 [2 per cell]

ΔH_f (0 K): 0.444 eV per atom
total magnetization: 0.0 μB per formula unit